## LaTbPm2Sm4 (PBE)

Data for LaTbPm2Sm4 after structural relaxation.

Unit cell a=3.652 b=12.112 c=6.284 alpha=79.71 beta=90.00 gamma=90.00
Sites, in units of the cell vectors:
La: 0.500 0.500 0.000
Tb: 0.000 0.500 0.500
Pm: 0.000 0.000 0.000
Pm: 0.500 0.000 0.500
Sm: 0.000 0.751 0.750
Sm: 0.000 0.249 0.250
Sm: 0.500 0.750 0.251
Sm: 0.500 0.250 0.749

Results
V ... 34.19 Å³ per atom
Symmetry ... P2/m (10)
Energy of formation from the pure elements ... 0.0174 eV/atom
Density of states at the Fermi level ... 12.392 states/eV/f.u.

=====

## CdWAu2 (PBE)

Data for CdWAu2 after structural relaxation.

Unit cell a=5.054 b=5.054 c=5.054 alpha=130.83 beta=130.83 gamma=72.08
Sites, in units of the cell vectors:
Au: 0.000 0.000 0.000
Au: 0.250 0.750 0.500
W: 0.750 0.250 0.500
Cd: 0.500 0.500 0.000

Results
V ... 18.06 Å³ per atom
Symmetry ... I-4m2 (119)
Energy of formation from the pure elements ... 0.5967 eV/atom
Energy above the lowest structure with this stoichiometry ... 416 meV/atom
Density of states at the Fermi level ... 2.695 states/eV/f.u.

=====

## MnCoPd3 (PBE)

Data for MnCoPd3 after structural relaxation.

Unit cell a=4.531 b=4.531 c=4.531 alpha=90.00 beta=90.00 gamma=90.00
Sites, in units of the cell vectors:
Mn: 0.500 0.500 0.500
Co: 0.000 0.000 0.000
Pd: 0.000 0.500 0.000
Pd: 0.000 0.000 0.500
Pd: 0.500 0.000 0.000

Results
V ... 18.61 Å³ per atom
Symmetry ... Pm-3m (221)
Energy of formation from the pure elements ... 0.8728 eV/atom
Energy above the lowest structure with this stoichiometry ... 0 meV/atom
Density of states at the Fermi level ... 12.220 states/eV/f.u.

=====

## K2SrZr3S8 (PBE)

Data for K2SrZr3S8 after structural relaxation.

Unit cell a=7.780 b=7.780 c=8.707 alpha=63.46 beta=63.46 gamma=60.00
Sites, in units of the cell vectors:
K: 0.135 0.135 0.594
K: 0.497 0.497 0.508
Sr: 0.873 0.873 0.381
Zr: 0.498 0.005 0.999
Zr: 0.005 0.498 0.999
Zr: 0.498 0.498 0.999
S: 0.269 0.269 0.193
S: 0.733 0.733 0.801
S: 0.238 0.238 0.822
S: 0.701 0.238 0.822
S: 0.238 0.701 0.822
S: 0.755 0.298 0.193
S: 0.298 0.755 0.193
S: 0.755 0.755 0.193

Results
V ... 27.93 Å³ per atom
Symmetry ... R3m (160)
Raw formation energy ... -21.01 eV/f.u.